(1)
LaSc2Tl | GGA-PBEsol | optimized geometry

Results
- Symmetry: R3m (160)
- Energy: -5.35 eV/atom
- E above lowest polymorph: 0.130 eV per atom

Cell lengths 10.923, 10.923, 10.923 Å; angles 17.72, 17.72, 17.72 degrees
Atoms (fractional coordinates):
La  0.000  0.000  0.000
Sc  0.244  0.244  0.244
Sc  0.499  0.499  0.499
Tl  0.755  0.755  0.755

(2)
La2ScTl | GGA-PBEsol | optimized geometry

Results
- Symmetry: F-43m (216)
- Energy: -5.07 eV/atom
- E above lowest polymorph: 0.135 eV per atom

Cell lengths 5.354, 5.354, 5.354 Å; angles 60.00, 60.00, 60.00 degrees
Atoms (fractional coordinates):
La  0.000  0.000  0.000
La  0.250  0.250  0.250
Sc  0.500  0.500  0.500
Tl  0.750  0.750  0.750

(3)
LaSc2Tl | GGA-PBEsol | optimized geometry

Results
- Symmetry: P4/mmm (123)
- Energy: -5.48 eV/atom
- E above lowest polymorph: 0.000 eV per atom

Cell lengths 3.472, 3.472, 8.313 Å; angles 90.00, 90.00, 90.00 degrees
Atoms (fractional coordinates):
La  0.000  0.000  0.000
Sc  0.500  0.500  0.279
Sc  0.500  0.500  0.721
Tl  0.000  0.000  0.500

(4)
LaSc2Tl | GGA-PBEsol | optimized geometry

Results
- Symmetry: Cmm2 (35)
- Energy: -5.33 eV/atom
- E above lowest polymorph: 0.148 eV per atom

Cell lengths 3.270, 3.270, 10.483 Å; angles 90.00, 90.00, 110.94 degrees
Atoms (fractional coordinates):
La  0.000  0.000  0.000
Sc  0.000  0.000  0.502
Sc  0.500  0.500  0.733
Tl  0.500  0.500  0.267

(5)
LaSc2Tl | GGA-PBEsol | optimized geometry

Results
- Symmetry: Pmm2 (25)
- Energy: -5.46 eV/atom
- E above lowest polymorph: 0.018 eV per atom

Cell lengths 3.447, 4.540, 6.598 Å; angles 90.00, 90.00, 90.00 degrees
Atoms (fractional coordinates):
La  0.000  0.000  0.000
Sc  0.000  0.000  0.503
Sc  0.500  0.500  0.274
Tl  0.500  0.500  0.729

(6)
LaScW3 | GGA-PBEsol | optimized geometry

Results
- Symmetry: Pm-3m (221)
- Energy: -8.18 eV/atom

Cell lengths 4.800, 4.800, 4.800 Å; angles 90.00, 90.00, 90.00 degrees
Atoms (fractional coordinates):
La  0.000  0.000  0.000
Sc  0.500  0.500  0.500
W  0.000  0.000  0.500
W  0.000  0.500  0.000
W  0.500  0.000  0.000

(7)
LaScW | GGA-PBEsol | optimized geometry

Results
- Symmetry: Imm2 (44)
- Energy: -8.02 eV/atom

Cell lengths 5.326, 5.326, 5.326 Å; angles 148.05, 126.06, 64.07 degrees
Atoms (fractional coordinates):
La  0.000  0.000  0.000
Sc  0.681  0.681  0.000
W  0.327  0.327  0.000

(8)
LaY2Sc2 | GGA-PBEsol | optimized geometry

Results
- Symmetry: P4/mbm (127)
- Energy: -6.34 eV/atom

Cell lengths 9.010, 9.010, 3.569 Å; angles 90.00, 90.00, 90.00 degrees
Atoms (fractional coordinates):
La  0.000  0.000  0.000
La  0.500  0.500  0.000
Y  0.127  0.373  0.000
Y  0.373  0.873  0.000
Y  0.627  0.127  0.000
Y  0.873  0.627  0.000
Sc  0.169  0.669  0.500
Sc  0.331  0.169  0.500
Sc  0.669  0.831  0.500
Sc  0.831  0.331  0.500

(9)
La2ScZn | GGA-PBEsol | optimized geometry

Results
- Symmetry: P4mm (99)
- Energy: -4.85 eV/atom

Cell lengths 3.535, 3.535, 8.290 Å; angles 90.00, 90.00, 90.00 degrees
Atoms (fractional coordinates):
La  0.000  0.000  0.000
La  0.500  0.500  0.312
Sc  0.000  0.000  0.591
Zn  0.500  0.500  0.754

(10)
LaSc2Zn | GGA-PBEsol | optimized geometry

Results
- Symmetry: P4mm (99)
- Energy: -5.14 eV/atom

Cell lengths 3.420, 3.420, 8.188 Å; angles 90.00, 90.00, 90.00 degrees
Atoms (fractional coordinates):
La  0.000  0.000  0.000
Sc  0.000  0.000  0.565
Sc  0.500  0.500  0.315
Zn  0.500  0.500  0.741

(11)
LaSc2Zn | GGA-PBEsol | optimized geometry

Results
- Symmetry: Immm (71)
- Energy: -5.16 eV/atom

Cell lengths 6.115, 6.115, 6.115 Å; angles 147.26, 128.94, 61.98 degrees
Atoms (fractional coordinates):
La  0.000  0.000  0.000
Sc  0.285  0.785  0.500
Sc  0.715  0.215  0.500
Zn  0.500  0.500  0.000

(12)
LaScZn2 | GGA-PBEsol | optimized geometry

Results
- Symmetry: P4/mmm (123)
- Energy: -4.09 eV/atom
- E above lowest polymorph: 0.000 eV per atom

Cell lengths 3.432, 3.432, 7.195 Å; angles 90.00, 90.00, 90.00 degrees
Atoms (fractional coordinates):
La  0.000  0.000  0.000
Sc  0.000  0.000  0.500
Zn  0.500  0.500  0.297
Zn  0.500  0.500  0.703

| no. | ρ (g cm⁻³) | calculated volume (Å³ per cell) | magnetic moment (μB/f.u.) |
| --- | --- | --- | --- |
| 1 | 6.82 | 105.4 | 0.01 |
| 2 | 8.07 | 108.5 | 1.48 |
| 3 | 7.18 | 100.2 | 0.00 |
| 4 | 6.87 | 104.7 | 0.00 |
| 5 | 6.97 | 103.3 | 0.00 |
| 6 | 11.05 | 110.6 | 0.00 |
| 7 | 9.55 | 63.9 | 0.00 |
| 8 | 4.66 | 289.7 | 0.00 |
| 9 | 6.22 | 103.6 | 0.00 |
| 10 | 5.10 | 95.8 | 0.56 |
| 11 | 5.13 | 95.2 | 0.00 |
| 12 | 6.17 | 84.7 | 0.00 |